1.
VASP calculation (PBE-GGA) on an optimized crystal structure of PuMgZnPt.

For the density of states at the Fermi level, the calculation gives 34.27 states/eV per cell. The calculated formation energy is -0.433 eV/atom. Its electronic total energy is -99.9 eV/cell. For the magnetic moment, the calculation gives 1.32 μB per atom.

The structure belongs to space group F-43m (No. 216); the cell edges are 6.819, 6.819 and 6.819 Å and the angles 90.00°, 90.00° and 90.00°. The inequivalent atoms are Pu at (0.000, 0.000, 0.000), Mg at (0.000, 0.000, 0.500), Zn at (0.250, 0.250, 0.750) and Pt at (0.250, 0.250, 0.250).

***

2.
VASP calculation (PBE-GGA) on an optimized crystal structure of CuIr2Se.

For the density of states at the Fermi level, the calculation gives 17.79 states/eV per cell. Its electronic total energy is -92.4 eV/cell. For the magnetic moment, the calculation gives 0.00 μB per atom.

The structure belongs to space group F-43m (No. 216); the cell edges are 6.219, 6.219 and 6.219 Å and the angles 90.00°, 90.00° and 90.00°. The inequivalent atoms are Cu at (0.000, 0.000, 0.000), Ir at (0.000, 0.000, 0.500), Ir at (0.250, 0.250, 0.750) and Se at (0.250, 0.250, 0.250).